1.
Computed, not measured: a geometry-optimized Cu7Ag3 structure at the PBE level of DFT.

## Properties
* ΔE_f: 88 meV/atom
* offset from the most stable computed form: 0.998 kcal/mol of atoms

a = 9.355 Å, b = 9.355 Å, c = 5.476 Å
α = 98.22°, β = 98.22°, γ = 16.86°
Fractional coordinates of all 10 atoms:
Cu  0.000  0.000  0.000
Cu  0.002  0.002  0.507
Cu  0.206  0.206  0.101
Cu  0.407  0.407  0.209
Cu  0.598  0.598  0.805
Cu  0.804  0.804  0.379
Cu  0.806  0.806  0.939
Ag  0.210  0.210  0.620
Ag  0.399  0.399  0.701
Ag  0.601  0.601  0.296



2.
Computed, not measured: a geometry-optimized Sm3SbO7 structure at the PBE level of DFT.

## Properties
* total magnetic moment: 0.000 Bohr magnetons per cell
* total DFT energy (no corrections): -84.9 eV/f.u.

a = 6.555 Å, b = 6.555 Å, c = 7.613 Å
α = 90.00°, β = 90.00°, γ = 109.67°
Fractional coordinates of all 22 atoms:
Sm  0.001  0.001  0.000
Sm  0.033  0.499  0.749
Sm  0.499  0.033  0.251
Sm  0.501  0.967  0.751
Sm  0.967  0.501  0.249
Sm  0.999  0.999  0.500
Sb  0.500  0.500  0.000
Sb  0.500  0.500  0.500
O  0.130  0.870  0.250
O  0.135  0.865  0.750
O  0.182  0.428  0.029
O  0.183  0.430  0.470
O  0.428  0.182  0.971
O  0.430  0.183  0.530
O  0.434  0.566  0.750
O  0.566  0.434  0.250
O  0.570  0.817  0.030
O  0.572  0.818  0.471
O  0.817  0.570  0.970
O  0.818  0.572  0.529
O  0.865  0.135  0.250
O  0.870  0.130  0.750



3.
Computed, not measured: a geometry-optimized GdInIr structure at the PBE level of DFT.

## Properties
* total magnetic moment: 0.007 Bohr magnetons per cell
* offset from the most stable computed form: 3.391 kcal/mol of atoms

a = 4.713 Å, b = 4.713 Å, c = 6.739 Å
α = 90.00°, β = 90.00°, γ = 120.00°
Fractional coordinates of all 6 atoms:
Gd  0.000  0.000  0.000
Gd  0.000  0.000  0.500
In  0.333  0.667  0.244
In  0.667  0.333  0.744
Ir  0.333  0.667  0.768
Ir  0.667  0.333  0.268